No. 1
{
  "formula": "CdP2AuS",
  "functional": "GGA-PBE",
  "state": "optimized geometry",
  "e_form_raw_ev_per_fu": 4.50,
  "crystal_system": "tetragonal",
  "dos_ef_per_ev_cell": 4.61,
  "mass_density_g_cm3": 5.70,
  "lattice_angstrom": [[4.816, 0.000, 0.000], [0.000, 4.816, 0.000], [0.000, 0.000, 5.063]],
  "species": ["P", "P", "S", "Au", "Cd"],
  "frac_coords": [[0.000, 0.500, 0.000], [0.500, 0.000, 0.000], [0.000, 0.000, 0.500], [0.000, 0.000, 0.000], [0.500, 0.500, 0.500]]
}

No. 2
{
  "formula": "ScCd2PAu",
  "functional": "GGA-PBE",
  "state": "optimized geometry",
  "crystal_system": "tetragonal",
  "dos_ef_per_ev_cell": 3.55,
  "e_form_ev_per_atom": 0.340,
  "mass_density_g_cm3": 6.07,
  "lattice_angstrom": [[5.104, 0.000, 0.000], [0.000, 5.223, 0.000], [0.000, 0.000, 5.104]],
  "species": ["Sc", "P", "Au", "Cd", "Cd"],
  "frac_coords": [[0.000, 0.500, 0.000], [0.500, 0.500, 0.500], [0.000, 0.000, 0.000], [0.000, 0.000, 0.500], [0.500, 0.000, 0.000]]
}

No. 3
{
  "formula": "YCdPAu2",
  "functional": "GGA-PBE",
  "state": "optimized geometry",
  "crystal_system": "tetragonal",
  "dos_ef_per_ev_cell": 3.78,
  "e_form_ev_per_atom": 0.951,
  "mass_density_g_cm3": 5.70,
  "lattice_angstrom": [[5.462, 0.000, 0.000], [0.000, 6.120, 0.000], [0.000, 0.000, 5.462]],
  "species": ["Y", "P", "Au", "Au", "Cd"],
  "frac_coords": [[0.000, 0.000, 0.000], [0.500, 0.500, 0.500], [0.000, 0.000, 0.500], [0.500, 0.000, 0.000], [0.000, 0.500, 0.000]]
}

No. 4
{
  "formula": "PaCd2Au2",
  "functional": "GGA-PBE",
  "state": "optimized geometry",
  "crystal_system": "orthorhombic",
  "dos_ef_per_ev_cell": 11.33,
  "e_form_ev_per_atom": -0.078,
  "mass_density_g_cm3": 12.55,
  "lattice_angstrom": [[6.152, 0.001, 0.000], [0.001, 5.504, -1.118], [-3.076, -1.455, 6.936]],
  "species": ["Pa", "Pa", "Cd", "Cd", "Cd", "Cd", "Au", "Au", "Au", "Au"],
  "frac_coords": [[0.638, 0.750, 0.000], [0.362, 0.250, 0.000], [0.986, 0.362, 0.224], [0.762, 0.138, 0.776], [0.014, 0.638, 0.776], [0.238, 0.862, 0.224], [0.700, 0.199, 0.400], [0.700, 0.700, 0.400], [0.300, 0.801, 0.600], [0.300, 0.300, 0.600]]
}

No. 5
{
  "formula": "PaCdAu",
  "functional": "GGA-PBE",
  "state": "optimized geometry",
  "crystal_system": "orthorhombic",
  "dos_ef_per_ev_cell": 5.13,
  "e_form_ev_per_atom": 0.003,
  "mass_density_g_cm3": 13.44,
  "lattice_angstrom": [[-0.505, -1.507, 2.616], [2.921, 0.277, -0.875], [-0.643, 7.450, 3.176]],
  "species": ["Cd", "Pa", "Au"],
  "frac_coords": [[0.992, 0.992, 0.984], [0.672, 0.672, 0.344], [0.336, 0.336, 0.673]]
}

No. 6
{
  "formula": "PaCdAu",
  "functional": "GGA-PBE",
  "state": "optimized geometry",
  "crystal_system": "tetragonal",
  "dos_ef_per_ev_cell": 3.09,
  "e_form_ev_per_atom": -0.139,
  "mass_density_g_cm3": 13.39,
  "lattice_angstrom": [[3.321, 0.000, 0.000], [0.000, 3.321, 0.000], [-1.661, -1.661, 6.075]],
  "species": ["Pa", "Au", "Cd"],
  "frac_coords": [[0.010, 0.010, 0.020], [0.671, 0.671, 0.343], [0.319, 0.319, 0.637]]
}

No. 7
{
  "formula": "PaCdAu3",
  "functional": "GGA-PBE",
  "state": "optimized geometry",
  "crystal_system": "monoclinic",
  "dos_ef_per_ev_cell": 9.47,
  "e_form_ev_per_atom": -0.220,
  "mass_density_g_cm3": 14.54,
  "lattice_angstrom": [[-2.277, -5.520, 1.060], [4.629, -2.081, -0.898], [0.348, 4.327, 6.556]],
  "species": ["Pa", "Pa", "Cd", "Cd", "Au", "Au", "Au", "Au", "Au", "Au"],
  "frac_coords": [[0.130, 0.399, 0.798], [0.870, 0.601, 0.202], [0.645, 0.190, 0.380], [0.355, 0.810, 0.620], [0.749, 0.994, 0.988], [0.251, 0.006, 0.012], [0.387, 0.617, 0.234], [0.613, 0.383, 0.766], [0.851, 0.802, 0.605], [0.149, 0.198, 0.395]]
}

No. 8
{
  "formula": "Pa2Cd3Au4",
  "functional": "GGA-PBE",
  "state": "optimized geometry",
  "crystal_system": "monoclinic",
  "dos_ef_per_ev_cell": 8.86,
  "e_form_ev_per_atom": -0.268,
  "mass_density_g_cm3": 13.41,
  "lattice_angstrom": [[4.868, 0.000, 0.001], [2.434, 4.216, 0.165], [-0.001, -0.354, 9.563]],
  "species": ["Pa", "Pa", "Cd", "Cd", "Cd", "Au", "Au", "Au", "Au"],
  "frac_coords": [[0.333, 0.334, 0.782], [0.667, 0.666, 0.218], [0.334, 0.332, 0.425], [0.000, 0.000, 0.000], [0.666, 0.668, 0.575], [0.666, 0.667, 0.901], [0.000, 0.999, 0.348], [0.000, 0.001, 0.652], [0.334, 0.333, 0.099]]
}

No. 9
{
  "formula": "PaCdAu2",
  "functional": "GGA-PBE",
  "state": "optimized geometry",
  "crystal_system": "cubic",
  "dos_ef_per_ev_cell": 4.24,
  "e_form_ev_per_atom": -0.364,
  "mass_density_g_cm3": 14.16,
  "lattice_angstrom": [[4.964, 0.000, 0.000], [2.482, 4.299, 0.000], [2.482, 1.433, 4.053]],
  "species": ["Pa", "Au", "Au", "Cd"],
  "frac_coords": [[0.000, 0.000, 0.000], [0.750, 0.750, 0.750], [0.250, 0.250, 0.250], [0.500, 0.500, 0.500]]
}

No. 10
{
  "formula": "PaCd2Au",
  "functional": "GGA-PBE",
  "state": "optimized geometry",
  "crystal_system": "trigonal",
  "dos_ef_per_ev_cell": 3.78,
  "e_form_ev_per_atom": 0.185,
  "mass_density_g_cm3": 11.93,
  "lattice_angstrom": [[3.024, 0.000, 0.000], [1.512, 2.619, 0.000], [1.512, 0.873, 11.478]],
  "species": ["Pa", "Au", "Cd", "Cd"],
  "frac_coords": [[0.000, 0.000, 0.000], [0.500, 0.500, 0.500], [0.095, 0.095, 0.716], [0.905, 0.905, 0.284]]
}

No. 11
{
  "formula": "PaCd4Au5",
  "functional": "GGA-PBE",
  "state": "optimized geometry",
  "crystal_system": "tetragonal",
  "dos_ef_per_ev_cell": 6.69,
  "e_form_ev_per_atom": -0.221,
  "mass_density_g_cm3": 13.68,
  "lattice_angstrom": [[3.354, 0.000, 0.000], [0.000, 3.354, 0.000], [0.000, 0.000, 17.966]],
  "species": ["Pa", "Cd", "Cd", "Cd", "Cd", "Au", "Au", "Au", "Au", "Au"],
  "frac_coords": [[0.000, 0.000, 0.000], [0.000, 0.000, 0.210], [0.000, 0.000, 0.404], [0.000, 0.000, 0.596], [0.000, 0.000, 0.790], [0.500, 0.500, 0.110], [0.500, 0.500, 0.307], [0.500, 0.500, 0.500], [0.500, 0.500, 0.693], [0.500, 0.500, 0.890]]
}

No. 12
{
  "formula": "Pa2CdAu4",
  "functional": "GGA-PBE",
  "state": "optimized geometry",
  "crystal_system": "trigonal",
  "dos_ef_per_ev_cell": 9.37,
  "e_form_ev_per_atom": -0.209,
  "mass_density_g_cm3": 13.59,
  "lattice_angstrom": [[-3.144, -2.572, 2.761], [-1.079, -4.643, -1.183], [4.645, -4.965, 5.041]],
  "species": ["Pa", "Pa", "Au", "Au", "Au", "Au", "Cd"],
  "frac_coords": [[0.749, 0.749, 0.752], [0.251, 0.251, 0.248], [0.873, 0.873, 0.381], [0.127, 0.127, 0.619], [0.621, 0.621, 0.138], [0.379, 0.379, 0.862], [0.000, 0.000, 0.000]]
}

No. 13
{
  "formula": "PaCdAu2",
  "functional": "GGA-PBE",
  "state": "optimized geometry",
  "crystal_system": "tetragonal",
  "dos_ef_per_ev_cell": 4.91,
  "e_form_ev_per_atom": -0.283,
  "mass_density_g_cm3": 14.44,
  "lattice_angstrom": [[-0.141, -0.549, -3.266], [-1.098, -3.076, 0.564], [-7.273, 2.575, -0.119]],
  "species": ["Pa", "Au", "Au", "Cd"],
  "frac_coords": [[0.500, 0.500, 0.500], [0.000, 0.000, 0.760], [0.000, 0.000, 0.240], [0.500, 0.500, 0.000]]
}

No. 14
{
  "formula": "PaCd3Au4",
  "functional": "GGA-PBE",
  "state": "optimized geometry",
  "crystal_system": "trigonal",
  "dos_ef_per_ev_cell": 5.58,
  "e_form_ev_per_atom": -0.238,
  "mass_density_g_cm3": 13.44,
  "lattice_angstrom": [[4.565, 0.000, 1.348], [2.084, 4.062, 1.348], [-0.166, -0.102, 8.970]],
  "species": ["Pa", "Au", "Au", "Au", "Au", "Cd", "Cd", "Cd"],
  "frac_coords": [[0.000, 0.000, 0.000], [0.877, 0.877, 0.370], [0.384, 0.384, 0.849], [0.123, 0.123, 0.630], [0.616, 0.616, 0.151], [0.246, 0.246, 0.263], [0.754, 0.754, 0.737], [0.500, 0.500, 0.500]]
}

No. 15
{
  "formula": "PaCdAu",
  "functional": "GGA-PBE",
  "state": "optimized geometry",
  "crystal_system": "monoclinic",
  "dos_ef_per_ev_cell": 5.57,
  "e_form_ev_per_atom": -0.143,
  "mass_density_g_cm3": 13.40,
  "lattice_angstrom": [[3.370, 0.017, -0.106], [0.020, 3.371, 0.095], [1.125, 0.418, 11.769]],
  "species": ["Pa", "Pa", "Cd", "Cd", "Au", "Au"],
  "frac_coords": [[0.790, 0.208, 0.162], [0.455, 0.874, 0.351], [0.848, 0.266, 0.842], [0.397, 0.816, 0.670], [0.936, 0.355, 0.520], [0.309, 0.727, 0.992]]
}

No. 16
{
  "formula": "PaCdAu",
  "functional": "GGA-PBE",
  "state": "optimized geometry",
  "crystal_system": "hexagonal",
  "dos_ef_per_ev_cell": 4.65,
  "e_form_ev_per_atom": -0.193,
  "mass_density_g_cm3": 13.53,
  "lattice_angstrom": [[3.160, 0.000, 0.000], [0.000, 4.923, 0.000], [0.000, -2.461, 4.263]],
  "species": ["Pa", "Au", "Cd"],
  "frac_coords": [[0.667, 0.667, 0.333], [0.166, 0.333, 0.667], [0.167, 0.000, 0.000]]
}

No. 17
{
  "formula": "PaCdAu",
  "functional": "GGA-PBE",
  "state": "optimized geometry",
  "crystal_system": "cubic",
  "dos_ef_per_ev_cell": 3.35,
  "e_form_ev_per_atom": -0.075,
  "mass_density_g_cm3": 11.59,
  "lattice_angstrom": [[4.784, 0.000, 0.000], [2.392, 4.143, 0.000], [2.392, 1.381, 3.906]],
  "species": ["Pa", "Au", "Cd"],
  "frac_coords": [[0.000, 0.000, 0.000], [0.250, 0.250, 0.250], [0.500, 0.500, 0.500]]
}

No. 18
{
  "formula": "PaCdAu2",
  "functional": "GGA-PBE",
  "state": "optimized geometry",
  "crystal_system": "trigonal",
  "dos_ef_per_ev_cell": 4.40,
  "e_form_ev_per_atom": -0.156,
  "mass_density_g_cm3": 14.34,
  "lattice_angstrom": [[3.175, 0.000, 0.000], [1.587, 2.749, 0.000], [1.587, 0.916, 9.780]],
  "species": ["Pa", "Au", "Au", "Cd"],
  "frac_coords": [[0.000, 0.000, 0.000], [0.753, 0.753, 0.742], [0.247, 0.247, 0.258], [0.500, 0.500, 0.500]]
}

No. 19
{
  "formula": "PaCdPdAu",
  "functional": "GGA-PBE",
  "state": "optimized geometry",
  "crystal_system": "cubic",
  "dos_ef_per_ev_cell": 5.80,
  "e_form_ev_per_atom": -0.391,
  "mass_density_g_cm3": 12.88,
  "lattice_angstrom": [[-1.891, -3.623, -2.710], [2.336, -4.300, -0.318], [-1.870, -3.974, 2.181]],
  "species": ["Pa", "Au", "Pd", "Cd"],
  "frac_coords": [[0.250, 0.250, 0.250], [0.000, 0.000, 0.000], [0.500, 0.500, 0.500], [0.750, 0.750, 0.750]]
}

No. 20
{
  "formula": "PaCdPtAu",
  "functional": "GGA-PBE",
  "state": "optimized geometry",
  "crystal_system": "cubic",
  "dos_ef_per_ev_cell": 5.08,
  "e_form_ev_per_atom": -0.536,
  "mass_density_g_cm3": 14.63,
  "lattice_angstrom": [[-0.047, 4.895, 0.322], [-3.048, 2.223, 3.136], [1.781, 2.212, 4.000]],
  "species": ["Pa", "Au", "Pt", "Cd"],
  "frac_coords": [[0.000, 0.000, 0.000], [0.250, 0.250, 0.250], [0.750, 0.750, 0.750], [0.500, 0.500, 0.500]]
}